Computed, not measured: NaTl3I4 after structural relaxation at the PBE level of DFT.

Cell and atoms, written as POSCAR:
```
NaTl3I4
1.0
10.785 0.000 0.000
0.000 10.753 0.000
0.000 0.000 6.973
Na Tl I
2 6 8
direct
0.000 0.187 0.000 Na
0.500 0.813 0.500 Na
0.000 0.874 0.498 Tl
0.226 0.658 0.998 Tl
0.274 0.342 0.498 Tl
0.500 0.126 0.998 Tl
0.726 0.342 0.498 Tl
0.774 0.658 0.998 Tl
0.000 0.197 0.498 I
0.000 0.896 0.998 I
0.247 0.670 0.498 I
0.253 0.330 0.998 I
0.500 0.104 0.498 I
0.500 0.803 0.998 I
0.747 0.330 0.998 I
0.753 0.670 0.498 I
```

Values from the calculation:
ΔE_f (raw) ... -74.5 kJ per mole of atoms
ρ ... 4.7 g cm⁻³

Computed, not measured: SrErCuAg after structural relaxation at the PBE level of DFT.

Cell and atoms, written as POSCAR:
```
SrErCuAg
1.0
7.351 0.000 0.000
0.000 7.351 0.000
0.000 0.000 7.351
Sr Er Cu Ag
4 4 4 4
direct
0.000 0.000 0.000 Sr
0.000 0.500 0.500 Sr
0.500 0.000 0.500 Sr
0.500 0.500 0.000 Sr
0.000 0.000 0.500 Er
0.000 0.500 0.000 Er
0.500 0.000 0.000 Er
0.500 0.500 0.500 Er
0.250 0.250 0.250 Cu
0.250 0.750 0.750 Cu
0.750 0.250 0.750 Cu
0.750 0.750 0.250 Cu
0.250 0.250 0.750 Ag
0.250 0.750 0.250 Ag
0.750 0.250 0.250 Ag
0.750 0.750 0.750 Ag
```

Values from the calculation:
Energy of formation ... -93 meV/atom
ρ ... 7.1 g cm⁻³

Computed, not measured: NbSnAu after structural relaxation at the PBE level of DFT.

Cell and atoms, written as POSCAR:
```
NbSnAu
1.0
4.727 0.000 0.000
-2.364 4.094 0.000
0.000 0.000 3.012
Nb Sn Au
1 1 1
direct
0.000 0.000 0.000 Nb
0.667 0.333 0.500 Sn
0.333 0.667 0.500 Au
```

Values from the calculation:
Energy of formation ... 42 meV/atom
ρ ... 11.6 g cm⁻³

Computed, not measured: TbHo4Er15 after structural relaxation at the PBE level of DFT.

Cell and atoms, written as POSCAR:
```
TbHo4Er15
1.0
4.969 0.000 0.000
0.000 4.969 0.000
0.000 0.000 24.842
Tb Ho Er
1 4 15
direct
0.000 0.000 0.000 Tb
0.000 0.000 0.200 Ho
0.000 0.000 0.400 Ho
0.000 0.000 0.600 Ho
0.000 0.000 0.800 Ho
0.000 0.500 0.101 Er
0.000 0.500 0.300 Er
0.000 0.500 0.500 Er
0.000 0.500 0.700 Er
0.000 0.500 0.899 Er
0.500 0.000 0.101 Er
0.500 0.000 0.300 Er
0.500 0.000 0.500 Er
0.500 0.000 0.700 Er
0.500 0.000 0.899 Er
0.500 0.500 0.000 Er
0.500 0.500 0.201 Er
0.500 0.500 0.400 Er
0.500 0.500 0.600 Er
0.500 0.500 0.799 Er
```

Values from the calculation:
Energy of formation ... 22 meV/atom
ρ ... 9.0 g cm⁻³

Computed, not measured: Nd5SmAl6 after structural relaxation at the PBE level of DFT.

Cell and atoms, written as POSCAR:
```
Nd5SmAl6
1.0
4.551 -7.893 0.000
4.551 7.893 0.000
-3.037 0.000 4.299
Nd Sm Al
5 1 6
direct
0.000 0.000 0.000 Nd
0.166 0.834 0.500 Nd
0.332 0.668 0.000 Nd
0.668 0.332 0.000 Nd
0.834 0.166 0.500 Nd
0.500 0.500 0.500 Sm
0.087 0.418 0.253 Al
0.255 0.255 0.755 Al
0.418 0.087 0.253 Al
0.582 0.913 0.747 Al
0.745 0.745 0.245 Al
0.913 0.582 0.747 Al
```

Values from the calculation:
Energy of formation ... -356 meV/atom
ρ ... 5.6 g cm⁻³

Computed, not measured: AcYAg2Sn2 after structural relaxation at the PBE level of DFT.

Cell and atoms, written as POSCAR:
```
AcYAg2Sn2
1.0
4.820 0.000 0.000
-2.410 4.174 0.000
0.000 0.000 7.959
Ac Y Ag Sn
1 1 2 2
direct
0.000 0.000 0.000 Ac
0.000 0.000 0.500 Y
0.333 0.667 0.690 Ag
0.667 0.333 0.310 Ag
0.333 0.667 0.266 Sn
0.667 0.333 0.734 Sn
```

Values from the calculation:
Energy of formation ... -598 meV/atom
ρ ... 8.0 g cm⁻³

Computed, not measured: KMo2Os after structural relaxation at the PBE level of DFT.

Cell and atoms, written as POSCAR:
```
KMo2Os
1.0
2.987 0.000 0.000
0.000 4.623 0.000
0.000 0.000 10.749
K Mo Os
2 4 2
direct
0.000 0.000 0.000 K
0.500 0.500 0.000 K
0.000 0.500 0.292 Mo
0.000 0.500 0.708 Mo
0.500 0.000 0.292 Mo
0.500 0.000 0.708 Mo
0.000 0.000 0.500 Os
0.500 0.500 0.500 Os
```

Values from the calculation:
Energy of formation ... 917 meV/atom
ρ ... 9.4 g cm⁻³

Computed, not measured: TbCeIrRh after structural relaxation at the PBE level of DFT.

Cell and atoms, written as POSCAR:
```
TbCeIrRh
1.0
6.943 0.000 0.000
0.000 6.943 0.000
0.000 0.000 6.943
Tb Ce Ir Rh
4 4 4 4
direct
0.000 0.000 0.000 Tb
0.000 0.500 0.500 Tb
0.500 0.000 0.500 Tb
0.500 0.500 0.000 Tb
0.000 0.000 0.500 Ce
0.000 0.500 0.000 Ce
0.500 0.000 0.000 Ce
0.500 0.500 0.500 Ce
0.250 0.250 0.750 Ir
0.250 0.750 0.250 Ir
0.750 0.250 0.250 Ir
0.750 0.750 0.750 Ir
0.250 0.250 0.250 Rh
0.250 0.750 0.750 Rh
0.750 0.250 0.750 Rh
0.750 0.750 0.250 Rh
```

Values from the calculation:
Energy of formation ... -744 meV/atom
ρ ... 11.8 g cm⁻³

Computed, not measured: NbAlGe2O8 after structural relaxation at the PBE level of DFT.

Cell and atoms, written as POSCAR:
```
NbAlGe2O8
1.0
-3.203 3.203 3.174
3.203 -3.203 3.174
3.203 3.203 -3.174
Nb Al Ge O
1 1 2 8
direct
0.000 0.000 0.000 Nb
0.750 0.250 0.500 Al
0.250 0.750 0.500 Ge
0.500 0.500 0.000 Ge
0.058 0.364 0.306 O
0.058 0.751 0.694 O
0.105 0.301 0.803 O
0.249 0.942 0.306 O
0.498 0.301 0.197 O
0.636 0.942 0.694 O
0.699 0.502 0.803 O
0.699 0.895 0.197 O
```

Values from the calculation:
ΔE_f (raw) ... -195.0 kJ per mole of atoms
ρ ... 5.0 g cm⁻³

Computed, not measured: LiTaCuPd after structural relaxation at the PBE level of DFT.

Cell and atoms, written as POSCAR:
```
LiTaCuPd
1.0
6.182 0.000 0.000
0.000 6.182 0.000
0.000 0.000 6.182
Li Ta Cu Pd
4 4 4 4
direct
0.000 0.000 0.000 Li
0.000 0.500 0.500 Li
0.500 0.000 0.500 Li
0.500 0.500 0.000 Li
0.000 0.000 0.500 Ta
0.000 0.500 0.000 Ta
0.500 0.000 0.000 Ta
0.500 0.500 0.500 Ta
0.250 0.250 0.250 Cu
0.250 0.750 0.750 Cu
0.750 0.250 0.750 Cu
0.750 0.750 0.250 Cu
0.250 0.250 0.750 Pd
0.250 0.750 0.250 Pd
0.750 0.250 0.250 Pd
0.750 0.750 0.750 Pd
```

Values from the calculation:
Energy of formation ... -33 meV/atom
ρ ... 10.1 g cm⁻³

Computed, not measured: SrCaSiP2 after structural relaxation at the PBE level of DFT.

Cell and atoms, written as POSCAR:
```
SrCaSiP2
1.0
6.981 0.000 0.000
0.000 4.970 0.000
-2.017 0.000 7.438
Sr Ca Si P
2 2 2 4
direct
0.000 0.214 0.250 Sr
0.000 0.786 0.750 Sr
0.500 0.476 0.750 Ca
0.500 0.524 0.250 Ca
0.500 0.000 0.000 Si
0.500 0.000 0.500 Si
0.233 0.262 0.947 P
0.233 0.738 0.447 P
0.767 0.262 0.553 P
0.767 0.738 0.053 P
```

Values from the calculation:
ΔE_f (raw) ... -51.9 kJ per mole of atoms
ρ ... 2.8 g cm⁻³

Computed, not measured: Ba2LaB after structural relaxation at the PBE level of DFT.

Cell and atoms, written as POSCAR:
```
Ba2LaB
1.0
11.519 0.000 0.000
0.000 11.519 0.000
0.000 0.000 5.081
Ba La B
8 4 4
direct
0.099 0.250 0.125 Ba
0.250 0.599 0.375 Ba
0.250 0.901 0.875 Ba
0.401 0.250 0.625 Ba
0.599 0.750 0.625 Ba
0.750 0.099 0.875 Ba
0.750 0.401 0.375 Ba
0.901 0.750 0.125 Ba
0.000 0.000 0.500 La
0.000 0.500 0.750 La
0.500 0.000 0.250 La
0.500 0.500 0.000 La
0.000 0.000 0.000 B
0.000 0.500 0.250 B
0.500 0.000 0.750 B
0.500 0.500 0.500 B
```

Values from the calculation:
Energy of formation ... 491 meV/atom
ρ ... 4.2 g cm⁻³

What did the sixth record say?
Computed, not measured: AcYAg2Sn2 after structural relaxation at the PBE level of DFT.

Cell and atoms, written as POSCAR:
```
AcYAg2Sn2
1.0
4.820 0.000 0.000
-2.410 4.174 0.000
0.000 0.000 7.959
Ac Y Ag Sn
1 1 2 2
direct
0.000 0.000 0.000 Ac
0.000 0.000 0.500 Y
0.333 0.667 0.690 Ag
0.667 0.333 0.310 Ag
0.333 0.667 0.266 Sn
0.667 0.333 0.734 Sn
```

Values from the calculation:
Energy of formation ... -598 meV/atom
ρ ... 8.0 g cm⁻³

Repeat the tenth record exactly.
Computed, not measured: LiTaCuPd after structural relaxation at the PBE level of DFT.

Cell and atoms, written as POSCAR:
```
LiTaCuPd
1.0
6.182 0.000 0.000
0.000 6.182 0.000
0.000 0.000 6.182
Li Ta Cu Pd
4 4 4 4
direct
0.000 0.000 0.000 Li
0.000 0.500 0.500 Li
0.500 0.000 0.500 Li
0.500 0.500 0.000 Li
0.000 0.000 0.500 Ta
0.000 0.500 0.000 Ta
0.500 0.000 0.000 Ta
0.500 0.500 0.500 Ta
0.250 0.250 0.250 Cu
0.250 0.750 0.750 Cu
0.750 0.250 0.750 Cu
0.750 0.750 0.250 Cu
0.250 0.250 0.750 Pd
0.250 0.750 0.250 Pd
0.750 0.250 0.250 Pd
0.750 0.750 0.750 Pd
```

Values from the calculation:
Energy of formation ... -33 meV/atom
ρ ... 10.1 g cm⁻³

- Look up the ρ of the first one.
  4.7 g cm⁻³

Please write out number 9 again, unchanged.
Computed, not measured: NbAlGe2O8 after structural relaxation at the PBE level of DFT.

Cell and atoms, written as POSCAR:
```
NbAlGe2O8
1.0
-3.203 3.203 3.174
3.203 -3.203 3.174
3.203 3.203 -3.174
Nb Al Ge O
1 1 2 8
direct
0.000 0.000 0.000 Nb
0.750 0.250 0.500 Al
0.250 0.750 0.500 Ge
0.500 0.500 0.000 Ge
0.058 0.364 0.306 O
0.058 0.751 0.694 O
0.105 0.301 0.803 O
0.249 0.942 0.306 O
0.498 0.301 0.197 O
0.636 0.942 0.694 O
0.699 0.502 0.803 O
0.699 0.895 0.197 O
```

Values from the calculation:
ΔE_f (raw) ... -195.0 kJ per mole of atoms
ρ ... 5.0 g cm⁻³